1.
## Li2NdErHg4 (PBE)

Data for an optimized crystal structure of Li2NdErHg4.

Lattice parameters (Å, degrees): 8.8224 8.8224 8.8224 33.32 33.32 33.32
Last column: nearest neighbours and their distance in Å.
Atoms (fractional coordinates):
1 Li 0.2480 0.2480 0.2480  8 Hg 3.00-3.26
2 Li 0.7520 0.7520 0.7520  8 Hg 3.00-3.26
3 Nd 0.0000 0.0000 0.0000  8 Hg 3.13-3.19
4 Er 0.5000 0.5000 0.5000  8 Hg 3.03-3.08
5 Hg 0.1278 0.1278 0.1278  4 Li 3.00-3.11, 3 Er 3.08, 1 Nd 3.19
6 Hg 0.3787 0.3787 0.3787  1 Er 3.03, 4 Li 3.09-3.26, 3 Nd 3.13
7 Hg 0.6213 0.6213 0.6213  1 Er 3.03, 4 Li 3.09-3.26, 3 Nd 3.13
8 Hg 0.8722 0.8722 0.8722  4 Li 3.00-3.11, 3 Er 3.08, 1 Nd 3.19

Values from the calculation:
SG: R-3m (166)
theoretical density: 10.15 Mg/m³
energy of formation from the pure elements: -3.509 eV per formula unit

=====

2.
## LiErNiHg (PBE)

Data for an optimized crystal structure of LiErNiHg.

Lattice parameters (Å, degrees): 6.5747 6.5747 6.5747 90.00 90.00 90.00
Last column: nearest neighbours and their distance in Å.
Atoms (fractional coordinates):
1 Li 0.0000 0.0000 0.0000  4 Hg 2.85, 4 Er 2.85
2 Li 0.0000 0.5000 0.5000  4 Hg 2.85, 4 Er 2.85
3 Li 0.5000 0.0000 0.5000  4 Hg 2.85, 4 Er 2.85
4 Li 0.5000 0.5000 0.0000  4 Hg 2.85, 4 Er 2.85
5 Er 0.2500 0.2500 0.2500  4 Li 2.85, 4 Ni 2.85
6 Er 0.2500 0.7500 0.7500  4 Li 2.85, 4 Ni 2.85
7 Er 0.7500 0.2500 0.7500  4 Li 2.85, 4 Ni 2.85
8 Er 0.7500 0.7500 0.2500  4 Li 2.85, 4 Ni 2.85
9 Ni 0.0000 0.0000 0.5000  4 Hg 2.85, 4 Er 2.85
10 Ni 0.0000 0.5000 0.0000  4 Hg 2.85, 4 Er 2.85
11 Ni 0.5000 0.0000 0.0000  4 Hg 2.85, 4 Er 2.85
12 Ni 0.5000 0.5000 0.5000  4 Hg 2.85, 4 Er 2.85
13 Hg 0.2500 0.2500 0.7500  4 Li 2.85, 4 Ni 2.85
14 Hg 0.2500 0.7500 0.2500  4 Li 2.85, 4 Ni 2.85
15 Hg 0.7500 0.2500 0.2500  4 Li 2.85, 4 Ni 2.85
16 Hg 0.7500 0.7500 0.7500  4 Li 2.85, 4 Ni 2.85

Values from the calculation:
SG: F-43m (216)
theoretical density: 10.13 Mg/m³
energy of formation from the pure elements: -0.997 eV per formula unit

=====

3.
## LiEr2Hg4Pb (PBE)

Data for an optimized crystal structure of LiEr2Hg4Pb.

Lattice parameters (Å, degrees): 8.8582 8.8582 8.8582 33.61 33.61 33.61
Last column: nearest neighbours and their distance in Å.
Atoms (fractional coordinates):
1 Li 0.0000 0.0000 0.0000  8 Hg 2.82-3.07
2 Er 0.2453 0.2453 0.2453  8 Hg 3.01-3.32
3 Er 0.7547 0.7547 0.7547  8 Hg 3.01-3.32
4 Hg 0.1126 0.1126 0.1126  1 Li 2.82, 3 Er 3.02
5 Hg 0.3656 0.3656 0.3656  4 Er 3.01-3.27, 3 Li 3.07, 1 Pb 3.37, 3 Hg 3.37
6 Hg 0.6344 0.6344 0.6344  4 Er 3.01-3.27, 3 Li 3.07, 1 Pb 3.37, 3 Hg 3.37
7 Hg 0.8874 0.8874 0.8874  1 Li 2.82, 3 Er 3.02
8 Pb 0.5000 0.5000 0.5000  8 Hg 3.25-3.37, 6 Er 3.55

Values from the calculation:
SG: R-3m (166)
theoretical density: 11.83 Mg/m³
energy of formation from the pure elements: -2.908 eV per formula unit

=====

4.
## LiErHgPb (PBE)

Data for an optimized crystal structure of LiErHgPb.

Lattice parameters (Å, degrees): 7.2638 7.2638 7.2638 90.00 90.00 90.00
Last column: nearest neighbours and their distance in Å.
Atoms (fractional coordinates):
1 Li 0.0000 0.0000 0.0000  4 Hg 3.15, 4 Pb 3.15
2 Li 0.0000 0.5000 0.5000  4 Hg 3.15, 4 Pb 3.15
3 Li 0.5000 0.0000 0.5000  4 Hg 3.15, 4 Pb 3.15
4 Li 0.5000 0.5000 0.0000  4 Hg 3.15, 4 Pb 3.15
5 Er 0.0000 0.0000 0.5000  4 Hg 3.15, 4 Pb 3.15
6 Er 0.0000 0.5000 0.0000  4 Hg 3.15, 4 Pb 3.15
7 Er 0.5000 0.0000 0.0000  4 Hg 3.15, 4 Pb 3.15
8 Er 0.5000 0.5000 0.5000  4 Hg 3.15, 4 Pb 3.15
9 Hg 0.2500 0.2500 0.7500  4 Li 3.15, 4 Er 3.15
10 Hg 0.2500 0.7500 0.2500  4 Li 3.15, 4 Er 3.15
11 Hg 0.7500 0.2500 0.2500  4 Li 3.15, 4 Er 3.15
12 Hg 0.7500 0.7500 0.7500  4 Li 3.15, 4 Er 3.15
13 Pb 0.2500 0.2500 0.2500  4 Li 3.15, 4 Er 3.15
14 Pb 0.2500 0.7500 0.7500  4 Er 3.15, 4 Li 3.15
15 Pb 0.7500 0.2500 0.7500  4 Er 3.15, 4 Li 3.15
16 Pb 0.7500 0.7500 0.2500  4 Er 3.15, 4 Li 3.15

Values from the calculation:
SG: F-43m (216)
theoretical density: 10.09 Mg/m³
energy of formation from the pure elements: -1.707 eV per formula unit

=====

5.
## Li2PmErHg4 (PBE)

Data for an optimized crystal structure of Li2PmErHg4.

Lattice parameters (Å, degrees): 8.7884 8.7884 8.7884 33.37 33.37 33.37
Last column: nearest neighbours and their distance in Å.
Atoms (fractional coordinates):
1 Li 0.2484 0.2484 0.2484  8 Hg 3.01-3.23
2 Li 0.7516 0.7516 0.7516  8 Hg 3.01-3.23
3 Pm 0.0000 0.0000 0.0000  8 Hg 3.12-3.17
4 Er 0.5000 0.5000 0.5000  8 Hg 3.03-3.07
5 Hg 0.1273 0.1273 0.1273  4 Li 3.01-3.10, 3 Er 3.07, 1 Pm 3.17
6 Hg 0.3780 0.3780 0.3780  1 Er 3.03, 4 Li 3.08-3.23, 3 Pm 3.12
7 Hg 0.6220 0.6220 0.6220  1 Er 3.03, 4 Li 3.08-3.23, 3 Pm 3.12
8 Hg 0.8727 0.8727 0.8727  4 Li 3.01-3.10, 3 Er 3.07, 1 Pm 3.17

Values from the calculation:
SG: R-3m (166)
theoretical density: 10.25 Mg/m³
energy of formation from the pure elements: -3.519 eV per formula unit

=====

6.
## LiPmEr2Hg4 (PBE)

Data for an optimized crystal structure of LiPmEr2Hg4.

Lattice parameters (Å, degrees): 9.2057 9.2057 9.2057 32.20 32.20 32.20
Last column: nearest neighbours and their distance in Å.
Atoms (fractional coordinates):
1 Li 0.0000 0.0000 0.0000  8 Hg 3.05-3.13
2 Pm 0.5000 0.5000 0.5000  8 Hg 3.23-3.32
3 Er 0.2566 0.2566 0.2566  7 Hg 3.05-3.13
4 Er 0.7434 0.7434 0.7434  7 Hg 3.05-3.13
5 Hg 0.1166 0.1166 0.1166  1 Li 3.05, 3 Er 3.13, 3 Pm 3.23
6 Hg 0.3730 0.3730 0.3730  4 Er 3.05-3.10, 3 Li 3.13, 1 Pm 3.32
7 Hg 0.6270 0.6270 0.6270  4 Er 3.05-3.10, 3 Li 3.13, 1 Pm 3.32
8 Hg 0.8834 0.8834 0.8834  1 Li 3.05, 3 Er 3.13, 3 Pm 3.23

Values from the calculation:
SG: R-3m (166)
theoretical density: 10.87 Mg/m³
energy of formation from the pure elements: -3.529 eV per formula unit

=====

7.
## LiPmErHg (PBE)

Data for an optimized crystal structure of LiPmErHg.

Lattice parameters (Å, degrees): 7.4518 7.4518 7.4518 90.00 90.00 90.00
Last column: nearest neighbours and their distance in Å.
Atoms (fractional coordinates):
1 Li 0.0000 0.0000 0.0000  4 Er 3.23, 4 Pm 3.23
2 Li 0.0000 0.5000 0.5000  4 Er 3.23, 4 Pm 3.23
3 Li 0.5000 0.0000 0.5000  4 Er 3.23, 4 Pm 3.23
4 Li 0.5000 0.5000 0.0000  4 Er 3.23, 4 Pm 3.23
5 Pm 0.2500 0.2500 0.7500  4 Hg 3.23, 4 Li 3.23
6 Pm 0.2500 0.7500 0.2500  4 Hg 3.23, 4 Li 3.23
7 Pm 0.7500 0.2500 0.2500  4 Hg 3.23, 4 Li 3.23
8 Pm 0.7500 0.7500 0.7500  4 Hg 3.23, 4 Li 3.23
9 Er 0.2500 0.2500 0.2500  4 Hg 3.23, 4 Li 3.23
10 Er 0.2500 0.7500 0.7500  4 Hg 3.23, 4 Li 3.23
11 Er 0.7500 0.2500 0.7500  4 Hg 3.23, 4 Li 3.23
12 Er 0.7500 0.7500 0.2500  4 Hg 3.23, 4 Li 3.23
13 Hg 0.0000 0.0000 0.5000  4 Pm 3.23, 4 Er 3.23
14 Hg 0.0000 0.5000 0.0000  4 Pm 3.23, 4 Er 3.23
15 Hg 0.5000 0.0000 0.0000  4 Pm 3.23, 4 Er 3.23
16 Hg 0.5000 0.5000 0.5000  4 Pm 3.23, 4 Er 3.23

Values from the calculation:
SG: F-43m (216)
theoretical density: 8.34 Mg/m³
energy of formation from the pure elements: -0.811 eV per formula unit

=====

8.
## Li2PrErHg4 (PBE)

Data for an optimized crystal structure of Li2PrErHg4.

Lattice parameters (Å, degrees): 8.8706 8.8706 8.8706 33.19 33.19 33.19
Last column: nearest neighbours and their distance in Å.
Atoms (fractional coordinates):
1 Li 0.2474 0.2474 0.2474  8 Hg 2.99-3.32
2 Li 0.7526 0.7526 0.7526  8 Hg 2.99-3.32
3 Pr 0.0000 0.0000 0.0000  8 Hg 3.15-3.22
4 Er 0.5000 0.5000 0.5000  8 Hg 3.03-3.08
5 Hg 0.1282 0.1282 0.1282  4 Li 2.99-3.11, 3 Er 3.08, 1 Pr 3.22
6 Hg 0.3796 0.3796 0.3796  1 Er 3.03, 4 Li 3.09-3.32, 3 Pr 3.15
7 Hg 0.6204 0.6204 0.6204  1 Er 3.03, 4 Li 3.09-3.32, 3 Pr 3.15
8 Hg 0.8718 0.8718 0.8718  4 Li 2.99-3.11, 3 Er 3.08, 1 Pr 3.22

Values from the calculation:
SG: R-3m (166)
theoretical density: 10.03 Mg/m³
energy of formation from the pure elements: -3.501 eV per formula unit

=====

no.,D(E_F) (states/eV/f.u.)
1,5.69
2,4.77
3,2.41
4,1.37
5,5.73
6,6.61
7,5.31
8,5.69